# 1
Density functional theory data (PBE-GGA) for crystalline Pm2Pr4Er5 at its relaxed geometry.

Its final energy is -100.479 eV/cell. The calculated density comes out at 7.52 g/cm3. For the energy of formation, the calculation gives 0.109 eV per atom. The value obtained for the relative energy among the computed polymorphs is 8.2 meV per atom.

CIF file:
```
data_Pm2Pr4Er5
_chemical_formula_sum 'Pm4 Pr8 Er10'
_space_group_name_H-M_alt 'C 1 2/m 1'
_space_group_IT_number 12
_space_group_name_Hall '-C 2y'
_cell_length_a 11.222
_cell_length_b 7.492
_cell_length_c 9.271
_cell_angle_alpha 90.00
_cell_angle_beta 106.85
_cell_angle_gamma 90.00
loop_
_atom_site_label
_atom_site_fract_x
_atom_site_fract_y
_atom_site_fract_z
Pm1 0.142 0.000 0.127
Pr1 0.176 0.500 0.124
Pr2 0.185 0.500 0.498
Er1 0.000 0.000 0.500
Er2 0.068 0.280 0.779
```


# 2
Density functional theory data (PBE-GGA) for crystalline Pm4Pr5Er at its relaxed geometry.

Its final energy is -90.365 eV/cell. The calculated density comes out at 6.80 g/cm3. For the energy of formation, the calculation gives 0.228 eV per atom. The value obtained for the relative energy among the computed polymorphs is 212.4 meV per atom.

CIF file:
```
data_Pm4Pr5Er
_chemical_formula_sum 'Pm8 Pr10 Er2'
_space_group_name_H-M_alt 'I 4'
_space_group_IT_number 79
_space_group_name_Hall 'I 4'
_cell_length_a 10.610
_cell_length_b 10.610
_cell_length_c 6.297
_cell_angle_alpha 90.00
_cell_angle_beta 90.00
_cell_angle_gamma 90.00
loop_
_atom_site_label
_atom_site_fract_x
_atom_site_fract_y
_atom_site_fract_z
Pm1 0.001 0.675 0.000
Pr1 0.000 0.000 0.258
Pr2 0.188 0.810 0.535
Er1 0.000 0.000 0.794
```


# 3
Density functional theory data (PBE-GGA) for crystalline Pm6PrEr4 at its relaxed geometry.

Its final energy is -49.829 eV/cell. The calculated density comes out at 7.35 g/cm3. For the energy of formation, the calculation gives 0.155 eV per atom. The value obtained for the relative energy among the computed polymorphs is 41.8 meV per atom.

CIF file:
```
data_Pm6PrEr4
_chemical_formula_sum 'Pm6 Pr1 Er4'
_space_group_name_H-M_alt 'P -6 m 2'
_space_group_IT_number 187
_space_group_name_Hall 'P -6 2'
_cell_length_a 11.0742
_cell_length_b 11.0742
_cell_length_c 3.5737
_cell_angle_alpha 90.00
_cell_angle_beta 90.00
_cell_angle_gamma 120.00
loop_
_atom_site_label
_atom_site_fract_x
_atom_site_fract_y
_atom_site_fract_z
Pm1 0.1828 0.3657 0.0000
Pm2 0.5210 0.0420 0.5000
Pr1 0.0000 0.0000 0.5000
Er1 0.3259 0.1630 0.0000
Er2 0.3333 0.6667 0.5000
```


# 4
Density functional theory data (PBE-GGA) for crystalline Pm2PrEr7 at its relaxed geometry.

Its final energy is -46.008 eV/cell. The calculated density comes out at 8.38 g/cm3. For the energy of formation, the calculation gives 0.021 eV per atom. The value obtained for the relative energy among the computed polymorphs is 0.0 meV per atom.

CIF file:
```
data_Pm2PrEr7
_chemical_formula_sum 'Pm2 Pr1 Er7'
_space_group_name_H-M_alt 'P -1'
_space_group_IT_number 2
_space_group_name_Hall '-P 1'
_cell_length_a 6.144
_cell_length_b 6.163
_cell_length_c 9.402
_cell_angle_alpha 102.64
_cell_angle_beta 109.03
_cell_angle_gamma 99.62
loop_
_atom_site_label
_atom_site_fract_x
_atom_site_fract_y
_atom_site_fract_z
Pm1 0.203 0.101 0.204
Pr1 0.000 0.500 0.000
Er1 0.000 0.000 0.500
Er2 0.199 0.598 0.698
Er3 0.400 0.199 0.899
Er4 0.402 0.701 0.402
```


# 5
Density functional theory data (PBE-GGA) for crystalline PmPr2Er6 at its relaxed geometry.

Its final energy is -81.473 eV/cell. The calculated density comes out at 8.12 g/cm3. For the energy of formation, the calculation gives 0.106 eV per atom. The value obtained for the relative energy among the computed polymorphs is 80.0 meV per atom.

CIF file:
```
data_PmPr2Er6
_chemical_formula_sum 'Pm2 Pr4 Er12'
_space_group_name_H-M_alt 'C 1 2/m 1'
_space_group_IT_number 12
_space_group_name_Hall '-C 2y'
_cell_length_a 16.616
_cell_length_b 10.303
_cell_length_c 3.494
_cell_angle_alpha 90.00
_cell_angle_beta 102.13
_cell_angle_gamma 90.00
loop_
_atom_site_label
_atom_site_fract_x
_atom_site_fract_y
_atom_site_fract_z
Pm1 0.000 0.000 0.000
Pr1 0.156 0.500 0.155
Er1 0.000 0.311 0.500
Er2 0.178 0.167 0.178
```


# 6
Density functional theory data (PBE-GGA) for crystalline Pm2Pr5Er3 at its relaxed geometry.

Its final energy is -173.956 eV/cell. The calculated density comes out at 6.84 g/cm3. For the energy of formation, the calculation gives 0.360 eV per atom. The value obtained for the relative energy among the computed polymorphs is 183.0 meV per atom.

CIF file:
```
data_Pm2Pr5Er3
_chemical_formula_sum 'Pm8 Pr20 Er12'
_space_group_name_H-M_alt 'I b a m'
_space_group_IT_number 72
_space_group_name_Hall '-I 2 2c'
_cell_length_a 9.496
_cell_length_b 22.209
_cell_length_c 6.887
_cell_angle_alpha 90.00
_cell_angle_beta 90.00
_cell_angle_gamma 90.00
loop_
_atom_site_label
_atom_site_fract_x
_atom_site_fract_y
_atom_site_fract_z
Pm1 0.097 0.120 0.000
Pr1 0.000 0.246 0.250
Pr2 0.000 0.500 0.250
Pr3 0.096 0.372 0.500
Er1 0.000 0.000 0.250
Er2 0.246 0.118 0.500
```